{"formula": "AlBS2N", "functional": "PBE-GGA", "state": "relaxed", "de_polymorph_mev_per_atom": 0, "formation_energy_uncorrected_mev_per_atom": 265, "magmom_total_mub_per_cell": 0.003, "lattice": [[-2.0708, 4.3247, 2.1003], [-3.8264, -2.8671, 2.1309], [1.4778, -0.3515, 2.1808]], "species": ["N", "Al", "B", "S", "S"], "frac_coords": [[0.0000, 0.0000, 0.5000], [0.5000, 0.5000, 0.5000], [0.0000, 0.0000, 0.0000], [0.5000, 0.0000, 0.0000], [0.0000, 0.5000, 0.0000]]}

{"formula": "PmThN", "functional": "PBE-GGA", "state": "relaxed", "de_polymorph_mev_per_atom": 10, "formation_energy_uncorrected_mev_per_atom": -848, "magmom_total_mub_per_cell": 0.024, "lattice": [[-0.5145, 4.1670, 4.5924], [-1.6202, -2.5175, 2.1028], [3.6387, 0.3737, 0.0685]], "species": ["Th", "N", "Pm"], "frac_coords": [[0.2206, 0.3333, 0.6667], [0.0084, 0.0000, 0.0000], [0.7710, 0.6667, 0.3333]]}

Copy entry 2 word for word.
{"formula": "PmThN", "functional": "PBE-GGA", "state": "relaxed", "de_polymorph_mev_per_atom": 10, "formation_energy_uncorrected_mev_per_atom": -848, "magmom_total_mub_per_cell": 0.024, "lattice": [[-0.5145, 4.1670, 4.5924], [-1.6202, -2.5175, 2.1028], [3.6387, 0.3737, 0.0685]], "species": ["Th", "N", "Pm"], "frac_coords": [[0.2206, 0.3333, 0.6667], [0.0084, 0.0000, 0.0000], [0.7710, 0.6667, 0.3333]]}

> Which formula does entry 1 have?

AlBS2N